## TlCu2Pd6 (GGA-PBE)

Data for an optimized crystal structure of TlCu2Pd6.

Calculated values
total energy	-4.547	eV/atom
distance to the lowest polymorph of the same formula	193	meV/atom

abc: 5.6383 5.5022 5.5022
angles: 62.16 98.97 98.97
Fractional coordinates of all 9 atoms:
Tl 0.0000 0.0000 0.0000
Cu 0.1346 0.4192 0.4192
Cu 0.8654 0.5808 0.5808
Pd 0.2467 0.9562 0.4829
Pd 0.7533 0.0438 0.5171
Pd 0.7533 0.5171 0.0438
Pd 0.5000 0.2384 0.7615
Pd 0.5000 0.7615 0.2384
Pd 0.2467 0.4829 0.9562

## LiGeHRh2 (GGA-PBE)

Data for an optimized crystal structure of LiGeHRh2.

Calculated values
total energy	-5.395	eV/atom

abc: 3.9913 3.9913 3.4495
angles: 90.00 90.00 90.00
Fractional coordinates of all 5 atoms:
H 0.0000 0.0000 0.0000
Ge 0.5000 0.5000 0.5000
Rh 0.0000 0.5000 0.0000
Rh 0.5000 0.0000 0.0000
Li 0.0000 0.0000 0.5000

## ThAlCuAg (GGA-PBE)

Data for an optimized crystal structure of ThAlCuAg.

Calculated values
total energy	-4.709	eV/atom

abc: 4.8703 4.8703 4.8703
angles: 60.00 60.00 60.00
Fractional coordinates of all 4 atoms:
Cu 0.7500 0.7500 0.7500
Ag 0.2500 0.2500 0.2500
Th 0.5000 0.5000 0.5000
Al 0.0000 0.0000 0.0000